## Be3ReSn (PBE-GGA)

Data for a relaxed structure of Be3ReSn.

The value obtained for the energy above the most stable polymorph in this dataset is 5.171 eV/f.u. The value obtained for the energy is -18.0 eV per cell. The formation energy is 9.592 eV per formula unit. Its magnetic moment is 0.606 μB per atom.

The structure belongs to space group Pm-3m (No. 221); the cell edges are 4.4290, 4.4290 and 4.4290 Å and the angles 90.00°, 90.00° and 90.00°. The distinct sites, in fractional coordinates, are Be at (0.0000, 0.0000, 0.5000), Re at (0.5000, 0.5000, 0.5000) and Sn at (0.0000, 0.0000, 0.0000).